(1)
Material: CaRuN3
Method: DFT, PBEsol
State: optimized geometry

abc: 3.847 3.847 3.847
angles: 90.00 90.00 90.00
Fractional coordinates of all 5 atoms:
Ru: 0.000 0.000 0.000
Ca: 0.500 0.500 0.500
N: 0.000 0.500 0.000
N: 0.000 0.000 0.500
N: 0.500 0.000 0.000

Output
E_form (uncorrected) = 0.382 eV/f.u.
SG = No. 221
Calculated total energy = -7.501 eV/atom
Volume = 11.4 A^3/atom


(2)
Material: HfCuAs2Se
Method: DFT, PBEsol
State: optimized geometry

abc: 5.001 5.078 5.078
angles: 90.00 90.00 90.00
Fractional coordinates of all 5 atoms:
As: 0.000 0.000 0.500
As: 0.000 0.500 0.000
Hf: 0.000 0.000 0.000
Cu: 0.500 0.500 0.500
Se: 0.500 0.000 0.000

Output
E_form (uncorrected) = 2.429 eV/f.u.
SG = No. 123
Calculated total energy = -5.294 eV/atom
Volume = 25.8 A^3/atom


Ρ, respectively: 5.3, 6.1 g/cm3.